VASP calculation (PBE-GGA) on a relaxed Ac3PrY3Te8 crystal.

Cell: 9.140 9.140 9.140 Å, 58.87 58.87 58.87°
Positions (direct):
Ac  0.000  0.500  0.500
Ac  0.500  0.000  0.500
Ac  0.500  0.500  0.000
Pr  0.500  0.500  0.500
Y  0.000  0.000  0.500
Y  0.000  0.500  0.000
Y  0.500  0.000  0.000
Te  0.228  0.755  0.755
Te  0.242  0.242  0.242
Te  0.245  0.245  0.772
Te  0.245  0.772  0.245
Te  0.755  0.228  0.755
Te  0.755  0.755  0.228
Te  0.758  0.758  0.758
Te  0.772  0.245  0.245

Results
space-group type = No. 166
energy relative to the elements, uncorrected = -1454 meV/atom
volume = 35.065 Å³ per atom
D(E_F) = 7.7 states/eV/f.u.